# BaGaPt

An optimized crystal structure of BaGaPt (PBE, OQMD).

abc: 6.981 6.981 6.981
angles: 90.00 90.00 90.00
Space group F-43m (No. 216)
Asymmetric unit:
Ba 0.000 0.000 0.000 x4
Ga 0.250 0.250 0.250 x4
Pt 0.000 0.000 0.500 x4

Output
The calculated density comes out at 7.9 g cm⁻³. For the spin magnetization, the calculation gives 0.0 Bohr magnetons per cell. Its total energy is -11.5 eV/f.u.